# 1
Here is an optimized crystal structure of Hg2AuBr from the Alexandria database. Energies are from GGA-PBE.

abc: 4.115 4.115 6.331
angles: 90.00 90.00 90.00
Fractional coordinates of all 4 atoms:
Hg: 0.000 0.500 0.000
Hg: 0.500 0.000 0.000
Au: 0.000 0.000 0.500
Br: 0.500 0.500 0.500

Results
- raw formation energy (eV/atom) = 0.11
- total moment (Bohr magnetons per cell) = 0.000
- excess energy over the best structure of this formula in the dataset (eV per formula unit) = 0.71

# 2
Here is an optimized crystal structure of HgAu2Br5 from the Alexandria database. Energies are from GGA-PBE.

abc: 8.682 8.682 7.404
angles: 115.16 115.16 50.49
Fractional coordinates of all 8 atoms:
Hg: 0.000 0.000 0.000
Au: 0.386 0.386 0.883
Au: 0.886 0.886 0.384
Br: 0.145 0.655 0.143
Br: 0.151 0.659 0.657
Br: 0.180 0.180 0.185
Br: 0.655 0.145 0.143
Br: 0.659 0.151 0.657

Results
- raw formation energy (eV/atom) = -0.13
- total moment (Bohr magnetons per cell) = 0.000

# 3
Here is an optimized crystal structure of Hg5AuBr2 from the Alexandria database. Energies are from GGA-PBE.

abc: 6.586 6.702 6.885
angles: 61.84 62.68 76.65
Fractional coordinates of all 8 atoms:
Hg: 0.000 0.000 0.000
Hg: 0.085 0.278 0.478
Hg: 0.311 0.790 0.236
Hg: 0.527 0.370 0.835
Hg: 0.681 0.473 0.336
Au: 0.533 0.106 0.269
Br: 0.057 0.550 0.869
Br: 0.628 0.879 0.638

Results
- raw formation energy (eV/atom) = -0.12
- total moment (Bohr magnetons per cell) = 0.000

# 4
Here is an optimized crystal structure of Hg2AuBr2 from the Alexandria database. Energies are from GGA-PBE.

abc: 6.839 6.839 6.839
angles: 137.17 137.17 62.18
Fractional coordinates of all 5 atoms:
Hg: 0.114 0.114 0.000
Hg: 0.886 0.886 0.000
Au: 0.500 0.500 0.000
Br: 0.250 0.750 0.500
Br: 0.750 0.250 0.500

Results
- raw formation energy (eV/atom) = 0.24
- total moment (Bohr magnetons per cell) = 0.000
- excess energy over the best structure of this formula in the dataset (eV per formula unit) = 0.70

# 5
Here is an optimized crystal structure of Hg3AuBr from the Alexandria database. Energies are from GGA-PBE.

abc: 6.877 6.877 6.865
angles: 103.61 103.61 76.45
Fractional coordinates of all 10 atoms:
Hg: 0.221 0.726 0.736
Hg: 0.263 0.263 0.208
Hg: 0.274 0.779 0.264
Hg: 0.726 0.221 0.736
Hg: 0.737 0.737 0.792
Hg: 0.779 0.274 0.264
Au: 0.000 0.000 0.000
Au: 0.500 0.500 0.500
Br: 0.255 0.255 0.758
Br: 0.745 0.745 0.242

Results
- raw formation energy (eV/atom) = -0.12
- total moment (Bohr magnetons per cell) = 0.000
- excess energy over the best structure of this formula in the dataset (eV per formula unit) = 0.00

# 6
Here is an optimized crystal structure of HgAuBr4 from the Alexandria database. Energies are from GGA-PBE.

abc: 6.287 6.287 6.287
angles: 60.00 60.00 60.00
Fractional coordinates of all 6 atoms:
Hg: 0.000 0.000 0.000
Au: 0.750 0.750 0.750
Br: 0.376 0.376 0.376
Br: 0.376 0.376 0.873
Br: 0.376 0.873 0.376
Br: 0.873 0.376 0.376

Results
- raw formation energy (eV/atom) = 0.71
- total moment (Bohr magnetons per cell) = 0.009
- excess energy over the best structure of this formula in the dataset (eV per formula unit) = 5.69

# 7
Here is an optimized crystal structure of Hg2AuBr from the Alexandria database. Energies are from GGA-PBE.

abc: 3.498 3.498 8.244
angles: 90.00 90.00 90.00
Fractional coordinates of all 4 atoms:
Hg: 0.000 0.000 0.000
Hg: 0.500 0.500 0.293
Au: 0.000 0.000 0.488
Br: 0.500 0.500 0.706

Results
- raw formation energy (eV/atom) = 0.15
- total moment (Bohr magnetons per cell) = 0.000
- excess energy over the best structure of this formula in the dataset (eV per formula unit) = 0.89

# 8
Here is an optimized crystal structure of HgAu2Br8 from the Alexandria database. Energies are from GGA-PBE.

abc: 6.742 8.175 10.723
angles: 110.72 93.75 110.12
Fractional coordinates of all 11 atoms:
Hg: 0.000 0.000 0.000
Au: 0.465 0.522 0.674
Au: 0.535 0.478 0.326
Br: 0.178 0.557 0.797
Br: 0.179 0.986 0.199
Br: 0.273 0.544 0.475
Br: 0.340 0.503 0.137
Br: 0.660 0.497 0.863
Br: 0.727 0.456 0.525
Br: 0.821 0.014 0.801
Br: 0.822 0.443 0.203

Results
- raw formation energy (eV/atom) = -0.19
- total moment (Bohr magnetons per cell) = 0.000
- excess energy over the best structure of this formula in the dataset (eV per formula unit) = 0.00